BeMo2 at its PBEsol-relaxed geometry. Source: the Alexandria database, functional meta-GGA SCAN.

Structure (CIF):
```
data_BeMo2
_cell_length_a 5.691
_cell_length_b 5.691
_cell_length_c 4.714
_cell_angle_alpha 90.00
_cell_angle_beta 90.00
_cell_angle_gamma 90.00
_symmetry_space_group_name_H-M 'I 4/m c m'
_symmetry_Int_Tables_number 140
_symmetry_space_group_name_Hall '-I 4 2c'
loop_
_atom_site_label
_atom_site_type_symbol
_atom_site_fract_x
_atom_site_fract_y
_atom_site_fract_z
Be1 Be 0.000 0.000 0.250
Mo1 Mo 0.167 0.333 0.000
```

Properties
energy above the most stable polymorph in this dataset = 0.000 eV/atom
energy = -297.52 eV for the cell shown
total magnetic moment = 0.00 μB/f.u.



BeMo at its PBEsol-relaxed geometry. Source: the Alexandria database, functional meta-GGA SCAN.

Structure (CIF):
```
data_BeMo
_cell_length_a 2.6683
_cell_length_b 2.6683
_cell_length_c 25.0223
_cell_angle_alpha 90.00
_cell_angle_beta 90.00
_cell_angle_gamma 120.00
_symmetry_space_group_name_H-M 'R -3 m'
_symmetry_Int_Tables_number 166
_symmetry_space_group_name_Hall '-R 3 2"'
loop_
_atom_site_label
_atom_site_type_symbol
_atom_site_fract_x
_atom_site_fract_y
_atom_site_fract_z
Be1 Be 0.0000 0.0000 0.1313
Mo1 Mo 0.0000 0.0000 0.3818
```

Properties
energy above the most stable polymorph in this dataset = 0.645 eV/atom
energy = -230.36 eV for the cell shown
total magnetic moment = 0.00 μB/f.u.



Be2Mo at its PBEsol-relaxed geometry. Source: the Alexandria database, functional meta-GGA SCAN.

Structure (CIF):
```
data_Be2Mo
_cell_length_a 8.907
_cell_length_b 2.479
_cell_length_c 6.246
_cell_angle_alpha 90.00
_cell_angle_beta 111.11
_cell_angle_gamma 90.00
_symmetry_space_group_name_H-M 'C 1 2/m 1'
_symmetry_Int_Tables_number 12
_symmetry_space_group_name_Hall '-C 2y'
loop_
_atom_site_label
_atom_site_type_symbol
_atom_site_fract_x
_atom_site_fract_y
_atom_site_fract_z
Be1 Be 0.039 0.000 0.228
Be2 Be 0.154 0.500 0.025
Mo1 Mo 0.157 0.500 0.619
```

Properties
energy above the most stable polymorph in this dataset = 0.376 eV/atom
energy = -173.81 eV for the cell shown
total magnetic moment = 0.00 μB/f.u.



Be2Mo at its PBEsol-relaxed geometry. Source: the Alexandria database, functional meta-GGA SCAN.

Structure (CIF):
```
data_Be2Mo
_cell_length_a 4.4124
_cell_length_b 4.4124
_cell_length_c 7.2582
_cell_angle_alpha 90.00
_cell_angle_beta 90.00
_cell_angle_gamma 120.00
_symmetry_space_group_name_H-M 'P 63/m m c'
_symmetry_Int_Tables_number 194
_symmetry_space_group_name_Hall '-P 6c 2c'
loop_
_atom_site_label
_atom_site_type_symbol
_atom_site_fract_x
_atom_site_fract_y
_atom_site_fract_z
Be1 Be 0.0000 0.0000 0.0000
Be2 Be 0.1697 0.3394 0.2500
Mo1 Mo 0.3333 0.6667 0.5626
```

Properties
energy above the most stable polymorph in this dataset = 0.000 eV/atom
energy = -178.32 eV for the cell shown
total magnetic moment = 0.00 μB/f.u.



Be4Mo at its PBEsol-relaxed geometry. Source: the Alexandria database, functional meta-GGA SCAN.

Structure (CIF):
```
data_Be4Mo
_cell_length_a 3.316
_cell_length_b 3.316
_cell_length_c 8.245
_cell_angle_alpha 90.00
_cell_angle_beta 90.00
_cell_angle_gamma 90.00
_symmetry_space_group_name_H-M 'I 4/m m m'
_symmetry_Int_Tables_number 139
_symmetry_space_group_name_Hall '-I 4 2'
loop_
_atom_site_label
_atom_site_type_symbol
_atom_site_fract_x
_atom_site_fract_y
_atom_site_fract_z
Be1 Be 0.000 0.000 0.114
Be2 Be 0.000 0.500 0.250
Mo1 Mo 0.000 0.000 0.500
```

Properties
energy = -105.81 eV for the cell shown
total magnetic moment = 0.00 μB/f.u.



BeMo at its PBEsol-relaxed geometry. Source: the Alexandria database, functional meta-GGA SCAN.

Structure (CIF):
```
data_BeMo
_cell_length_a 3.174
_cell_length_b 8.806
_cell_length_c 3.251
_cell_angle_alpha 90.00
_cell_angle_beta 90.00
_cell_angle_gamma 90.00
_symmetry_space_group_name_H-M 'C m c m'
_symmetry_Int_Tables_number 63
_symmetry_space_group_name_Hall '-C 2c 2'
loop_
_atom_site_label
_atom_site_type_symbol
_atom_site_fract_x
_atom_site_fract_y
_atom_site_fract_z
Be1 Be 0.000 0.068 0.250
Mo1 Mo 0.000 0.344 0.250
```

Properties
energy above the most stable polymorph in this dataset = 0.000 eV/atom
energy = -158.74 eV for the cell shown
total magnetic moment = 0.00 μB/f.u.



Number 1: ΔH_f (0 K) -0.085 eV per atom. Number 2: ΔH_f (0 K) 0.422 eV per atom. Number 3: ΔH_f (0 K) 0.047 eV per atom. Number 4: ΔH_f (0 K) -0.329 eV per atom. Number 5: ΔH_f (0 K) -0.121 eV per atom. Number 6: ΔH_f (0 K) -0.223 eV per atom.